HfCuSn2, optimized geometry, DFT PBE-GGA; ΔE_f = 0.887 eV per formula unit; calculated volume = 22.81 Å³/atom; space-group type = I-42d; ΔE to the lowest computed polymorph = 1.179 eV per formula unit; density = 8.727 g/cm³; final energy = -42.3 eV for the cell shown
1.0
-0.882 4.065 -1.232
-2.081 0.684 3.745
6.794 5.397 5.303
Sn Hf Cu
4 2 2
Direct
0.141 0.625 0.250 Sn
0.375 0.391 0.750 Sn
0.875 0.859 0.750 Sn
0.609 0.125 0.250 Sn
0.750 0.250 0.500 Hf
0.000 0.000 0.000 Hf
0.500 0.500 0.000 Cu
0.250 0.750 0.500 Cu

---

BeBP, optimized geometry, DFT PBE-GGA; ΔE_f = 0.358 eV per formula unit; calculated volume = 11.99 Å³/atom; space-group type = P1; ΔE to the lowest computed polymorph = 0.351 eV per formula unit; density = 2.345 g/cm³; final energy = -30.9 eV for the cell shown
1.0
-1.327 2.740 -1.473
-4.170 0.446 1.621
1.547 2.883 3.706
B Be P
2 2 2
Direct
0.286 0.562 0.601 B
0.862 0.388 0.602 B
0.566 0.215 0.888 Be
0.006 0.758 0.134 Be
0.170 0.970 0.758 P
0.615 0.483 0.238 P

---

TlCrRe2, optimized geometry, DFT PBE-GGA; ΔE_f = 2.650 eV per formula unit; calculated volume = 16.25 Å³/atom; space-group type = R-3m; ΔE to the lowest computed polymorph = 0.589 eV per formula unit; density = 16.067 g/cm³; final energy = -34.2 eV for the cell shown
1.0
-4.019 6.272 5.778
-6.295 4.649 5.258
-4.470 3.923 7.315
Tl Cr Re
1 1 2
Direct
0.250 0.250 0.250 Tl
0.750 0.750 0.750 Cr
0.011 0.011 0.011 Re
0.489 0.489 0.489 Re

---

NbAsI2, optimized geometry, DFT PBE-GGA; calculated volume = 33.43 Å³/atom; space-group type = I-42d; ΔE to the lowest computed polymorph = 0.000 eV per formula unit; density = 5.236 g/cm³; uncorrected formation energy = 0.0602 eV/atom; final energy = -35.2 eV for the cell shown
1.0
-10.183 0.365 1.495
0.764 -7.488 7.029
-4.383 -1.833 6.068
As Nb I
2 2 4
Direct
0.500 0.500 0.000 As
0.250 0.750 0.500 As
0.750 0.250 0.500 Nb
0.000 0.000 0.000 Nb
0.375 0.228 0.750 I
0.978 0.625 0.250 I
0.772 0.125 0.250 I
0.875 0.022 0.750 I

---

K4BaRe, optimized geometry, DFT PBE-GGA; ΔE_f = 7.136 eV per formula unit; calculated volume = 50.38 Å³/atom; space-group type = F-43m; density = 2.636 g/cm³; final energy = -11.6 eV for the cell shown
1.0
-1.757 3.961 6.162
-2.609 7.036 -0.662
-7.210 1.508 1.579
K Re Ba
4 1 1
Direct
0.131 0.623 0.623 K
0.623 0.623 0.623 K
0.623 0.623 0.131 K
0.623 0.131 0.623 K
0.250 0.250 0.250 Re
0.000 0.000 0.000 Ba

---

Ba2MgZn2, optimized geometry, DFT PBE-GGA; ΔE_f = -0.501 eV per formula unit; calculated volume = 33.67 Å³/atom; space-group type = P4/mbm; ΔE to the lowest computed polymorph = 0.191 eV per formula unit; density = 4.239 g/cm³; final energy = -17.0 eV for the cell shown
1.0
-0.978 -7.385 3.561
5.623 2.005 5.703
-3.570 1.855 2.867
Zn Mg Ba
4 2 4
Direct
0.111 0.389 0.000 Zn
0.889 0.611 0.000 Zn
0.611 0.111 0.000 Zn
0.389 0.889 0.000 Zn
0.500 0.500 0.000 Mg
0.000 0.000 0.000 Mg
0.688 0.812 0.500 Ba
0.188 0.688 0.500 Ba
0.812 0.312 0.500 Ba
0.312 0.188 0.500 Ba